## NiH10C2N4O6 (PBE with a Hubbard U)

Data for an optimized crystal structure of NiH10C2N4O6.

Computed properties:
The value obtained for the total moment is 7.993 μB/cell. Its energy is -5.8436 eV/atom.

Unit cell a=11.7689 b=7.1074 c=10.5263 alpha=90.00 beta=112.27 gamma=90.00
Space group C2/c (No. 15)
Symmetry-distinct sites (fractional):
Ni 0.0000 0.0000 0.0000
H 0.0250 0.3416 0.4144
H 0.0946 0.3447 0.0519
H 0.1272 0.2745 0.6668
H 0.1406 0.0842 0.7648
H 0.1714 0.3508 0.2714
C 0.2494 0.4759 0.4643
N 0.1374 0.1308 0.6700
N 0.2492 0.4128 0.3411
O 0.0514 0.2670 0.0999
O 0.1453 0.4874 0.4760
O 0.1478 0.0224 0.9411